(P)
PBE-GGA Ca5Be, optimized geometry; calculated volume = 209 Å³/f.u.; density of states at the Fermi level = 1.143 states/eV per atom; magnetic moment = 0.00 μB per cell
1.0
3.7010 0.0000 0.0000
0.0000 3.7010 0.0000
0.0000 0.0000 15.2650
Ca Be
5 1
direct
0.0000 0.0000 0.0000
0.0000 0.0000 0.3898
0.0000 0.0000 0.6102
0.5000 0.5000 0.1938
0.5000 0.5000 0.8062
0.5000 0.5000 0.5000

(Q)
PBE-GGA Ca5Be, optimized geometry; calculated volume = 211 Å³/f.u.; density of states at the Fermi level = 1.217 states/eV per atom; magnetic moment = 0.00 μB per cell
1.0
6.5094 -1.9345 0.0000
6.5094 1.9345 0.0000
-3.3319 0.0000 8.3929
Ca Be
5 1
direct
0.0000 0.0000 0.0000
0.0417 0.0417 0.4079
0.2930 0.2930 0.1579
0.3347 0.3347 0.5655
0.6674 0.6674 0.7828
0.6669 0.6669 0.2825

(R)
PBE-GGA Ca5Be, optimized geometry; calculated volume = 208 Å³/f.u.; density of states at the Fermi level = 1.377 states/eV per atom; magnetic moment = 0.00 μB per cell
1.0
5.8074 0.0000 0.0000
0.0000 2.1080 8.5145
0.0000 -2.1080 8.5145
Ca Be
5 1
direct
0.0000 0.0000 0.0000
0.0000 0.2735 0.2735
0.5000 0.1364 0.1364
0.5000 0.4691 0.4691
0.5000 0.8035 0.8035
0.0000 0.6368 0.6368

Which structure is most stable? (P), by 0.033 eV/atom over the runner-up.

(P)
PBE-GGA Ca2BeCd, optimized geometry; calculated volume = 104 Å³/f.u.; density of states at the Fermi level = 0.493 states/eV per atom; magnetic moment = 0.00 μB per cell
1.0
3.5292 0.0000 0.0000
0.0000 3.5292 0.0000
0.0000 0.0000 8.3571
Ca Be Cd
2 1 1
direct
0.0000 0.0000 0.0000
0.5000 0.5000 0.3762
0.5000 0.5000 0.7676
0.0000 0.0000 0.6306

(Q)
PBE-GGA Ca2BeCd, optimized geometry; calculated volume = 101 Å³/f.u.; density of states at the Fermi level = 0.655 states/eV per atom; magnetic moment = 0.00 μB per cell
1.0
0.0000 3.6957 3.6957
3.6957 0.0000 3.6957
3.6957 3.6957 0.0000
Ca Be Cd
2 1 1
direct
0.2500 0.2500 0.2500
0.7500 0.7500 0.7500
0.0000 0.0000 0.0000
0.5000 0.5000 0.5000

(R)
PBE-GGA Ca2BeCd, optimized geometry; calculated volume = 113 Å³/f.u.; density of states at the Fermi level = 0.640 states/eV per atom; magnetic moment = 0.00 μB per cell
1.0
-4.1231 4.1231 3.3248
4.1231 -4.1231 3.3248
4.1231 4.1231 -3.3248
Ca Be Cd
4 2 2
direct
0.0894 0.6250 0.9644
0.3750 0.3394 0.4644
0.6606 0.1250 0.0356
0.8750 0.9106 0.5356
0.0000 0.0000 0.0000
0.7500 0.2500 0.5000
0.2500 0.7500 0.5000
0.5000 0.5000 0.0000

(S)
PBE-GGA Ca2BeCd, optimized geometry; calculated volume = 107 Å³/f.u.; density of states at the Fermi level = 0.678 states/eV per atom; magnetic moment = 0.00 μB per cell
1.0
4.1966 0.0000 0.0000
0.0000 4.4754 0.0000
-2.0813 0.0000 5.7115
Ca Be Cd
2 1 1
direct
0.0000 0.0000 0.0000
0.2962 0.5000 0.5937
0.7061 0.0000 0.4147
0.5916 0.5000 0.1833

Which structure is most stable? (S), by 0.030 eV/atom over the runner-up.

(P)
PBE-GGA Ca2BeCd, optimized geometry; calculated volume = 90 Å³/f.u.; density of states at the Fermi level = 0.287 states/eV per atom; magnetic moment = 0.00 μB per cell
1.0
0.0000 3.5602 3.5602
3.5602 0.0000 3.5602
3.5602 3.5602 0.0000
Ca Be Cd
2 1 1
direct
0.0000 0.0000 0.0000
0.2500 0.2500 0.2500
0.5000 0.5000 0.5000
0.7500 0.7500 0.7500

(Q)
PBE-GGA Ca2BeCd, optimized geometry; calculated volume = 116 Å³/f.u.; density of states at the Fermi level = 0.777 states/eV per atom; magnetic moment = 0.00 μB per cell
1.0
3.2953 -1.9981 0.0000
3.2953 1.9981 0.0000
-2.4931 0.0000 8.7713
Ca Be Cd
2 1 1
direct
0.2379 0.2379 0.2163
0.7621 0.7621 0.7837
0.5000 0.5000 0.0000
0.0000 0.0000 0.5000

(R)
PBE-GGA Ca2BeCd, optimized geometry; calculated volume = 101 Å³/f.u.; density of states at the Fermi level = 0.697 states/eV per atom; magnetic moment = 0.00 μB per cell
1.0
3.6861 -3.7173 0.0000
3.6861 3.7173 0.0000
-0.0120 0.0000 3.6835
Ca Be Cd
2 1 1
direct
0.0000 0.5000 0.0000
0.5000 0.0000 0.0000
0.0000 0.0000 0.5000
0.5000 0.5000 0.5000

(S)
PBE-GGA Ca2BeCd, optimized geometry; calculated volume = 118 Å³/f.u.; density of states at the Fermi level = 0.885 states/eV per atom; magnetic moment = 0.00 μB per cell
1.0
2.2209 1.2822 6.8773
-2.2209 1.2822 6.8773
0.0000 -2.5644 6.8773
Ca Be Cd
2 1 1
direct
0.0000 0.0000 0.0000
0.1780 0.1780 0.1780
0.4212 0.4212 0.4212
0.7560 0.7560 0.7560

Which structure is most stable? (S), by 0.014 eV/atom over the runner-up.